[1]
Material: Ni2SnAu
Method: DFT, PBE
State: relaxed

Electronic total energy   -4.7599 eV per atom

Lattice parameters (Å, degrees): 8.704 3.921 7.983 90.00 117.27 90.00
Space group Cm (No. 8)
One atom of each set of equivalent atoms:
Ni: 0.000 0.000 0.000
Ni: 0.000 0.500 0.242
Ni: 0.256 0.000 0.889
Ni: 0.497 0.500 0.507
Sn: 0.232 0.500 0.627
Sn: 0.271 0.500 0.129
Au: 0.239 0.000 0.366
Au: 0.497 0.000 0.767


[2]
Material: NiSn6Au
Method: DFT, PBE
State: relaxed

Electronic total energy   -4.1972 eV per atom

Lattice parameters (Å, degrees): 13.347 9.329 9.511 90.00 133.83 90.00
Space group C2/m (No. 12)
One atom of each set of equivalent atoms:
Ni: 0.250 0.250 0.000
Sn: 0.016 0.162 0.675
Sn: 0.131 0.500 0.491
Sn: 0.154 0.335 0.142
Sn: 0.188 0.500 0.854
Au: 0.250 0.250 0.500


[3]
Material: Ni2SnAu
Method: DFT, PBE
State: relaxed

Electronic total energy   -4.5467 eV per atom

Lattice parameters (Å, degrees): 6.966 6.966 5.450 90.00 90.00 90.00
Space group I-42d (No. 122)
One atom of each set of equivalent atoms:
Ni: 0.245 0.250 0.125
Sn: 0.000 0.000 0.000
Au: 0.000 0.000 0.500


[4]
Material: Ni2SnAu
Method: DFT, PBE
State: relaxed

Electronic total energy   -4.7667 eV per atom

Lattice parameters (Å, degrees): 9.101 4.340 7.567 90.00 123.20 90.00
Space group C2/m (No. 12)
One atom of each set of equivalent atoms:
Ni: 0.176 0.000 0.188
Ni: 0.230 0.000 0.566
Sn: 0.104 0.000 0.798
Au: 0.000 0.500 0.000
Au: 0.000 0.500 0.500